# 1
Ca4Ga2Sn5 | GGA-PBE | optimized geometry

abc: 8.042 3.499 10.276
angles: 90.00 93.49 90.00
Space group P2/m (No. 10)
Asymmetric unit:
Ca (0.173, 0.000, 0.386)
Ca (0.275, 0.000, 0.935)
Ga (0.059, 0.500, 0.126)
Sn (0.180, 0.500, 0.669)
Sn (0.419, 0.500, 0.196)
Sn (0.500, 0.500, 0.500)

Calculated values
crystal system	monoclinic
energy of formation	-5.09	eV/f.u.
ΔE to the lowest computed polymorph	25	meV per atom

***

# 2
NbSbP2O | GGA-PBE | optimized geometry

abc: 5.021 5.021 3.862
angles: 90.00 90.00 90.00
Space group P4/mmm (No. 123)
Asymmetric unit:
Nb (0.000, 0.000, 0.000)
Sb (0.500, 0.500, 0.500)
P (0.000, 0.500, 0.000)
O (0.000, 0.000, 0.500)

Calculated values
crystal system	tetragonal
ΔE to the lowest computed polymorph	0	meV per atom
formation energy from raw total energies	-0.422	eV per atom

***

# 3
TaAlRh2 | GGA-PBE | optimized geometry

abc: 3.766 3.766 8.521
angles: 90.00 90.00 90.00
Space group I-4m2 (No. 119)
Asymmetric unit:
Ta (0.000, 0.000, 0.000)
Al (0.000, 0.500, 0.750)
Rh (0.000, 0.000, 0.500)
Rh (0.000, 0.500, 0.250)

Calculated values
crystal system	tetragonal
energy of formation	-2.49	eV/f.u.

***

# 4
Na12AgHg7 | GGA-PBE | optimized geometry

abc: 14.2382 14.2382 9.5310
angles: 90.00 90.00 120.00
Space group R-3 (No. 148, hexagonal axes)
Asymmetric unit:
Na (0.0352, 0.2424, 0.4196)
Na (0.0618, 0.8075, 0.9559)
Ag (0.0000, 0.0000, 0.5000)
Hg (0.0000, 0.0000, 0.0000)
Hg (0.0088, 0.1503, 0.7369)

Calculated values
crystal system	trigonal
energy of formation	-3.00	eV/f.u.

***

# 5
SrIrSe2Br | GGA-PBE | optimized geometry

abc: 4.999 4.999 5.192
angles: 90.00 90.00 90.00
Space group P4/mmm (No. 123)
Asymmetric unit:
Sr (0.000, 0.000, 0.000)
Ir (0.500, 0.500, 0.500)
Se (0.000, 0.500, 0.500)
Br (0.500, 0.500, 0.000)

Calculated values
crystal system	tetragonal
ΔE to the lowest computed polymorph	0	meV per atom
formation energy from raw total energies	-0.556	eV per atom

***

# 6
TiNb2H | GGA-PBE | optimized geometry

abc: 6.208 6.208 6.208
angles: 90.00 90.00 90.00
Space group Fm-3m (No. 225)
Asymmetric unit:
Ti (0.000, 0.000, 0.000)
Nb (0.250, 0.250, 0.250)
H (0.000, 0.000, 0.500)

Calculated values
crystal system	cubic
ΔE to the lowest computed polymorph	910	meV per atom

***

# 7
Zr2WSe | GGA-PBE | optimized geometry

abc: 3.698 4.942 8.517
angles: 90.00 90.00 90.00
Space group Immm (No. 71)
Asymmetric unit:
Zr (0.000, 0.000, 0.249)
W (0.000, 0.500, 0.000)
Se (0.000, 0.500, 0.500)

Calculated values
crystal system	orthorhombic
formation energy from raw total energies	-0.022	eV per atom

***

# 8
PaCuSnRh | GGA-PBE | optimized geometry

abc: 6.735 6.735 6.735
angles: 90.00 90.00 90.00
Space group F-43m (No. 216)
Asymmetric unit:
Pa (0.000, 0.000, 0.000)
Cu (0.250, 0.250, 0.750)
Sn (0.000, 0.000, 0.500)
Rh (0.250, 0.250, 0.250)

Calculated values
crystal system	cubic
energy of formation	-1.66	eV/f.u.

***

Question: Number 8 is which compound?
Answer: PaCuSnRh

***

Repeat the fourth record exactly.
Na12AgHg7 | GGA-PBE | optimized geometry

abc: 14.2382 14.2382 9.5310
angles: 90.00 90.00 120.00
Space group R-3 (No. 148, hexagonal axes)
Asymmetric unit:
Na (0.0352, 0.2424, 0.4196)
Na (0.0618, 0.8075, 0.9559)
Ag (0.0000, 0.0000, 0.5000)
Hg (0.0000, 0.0000, 0.0000)
Hg (0.0088, 0.1503, 0.7369)

Calculated values
crystal system	trigonal
energy of formation	-3.00	eV/f.u.